# 1
VASP calculation (PBE) on a geometry-optimized TaHg2Sb structure.

Its raw formation energy is 0.22 eV per atom. Its crystal system is orthorhombic. As for the density of states at the Fermi level: 2.78 states/eV per cell.

The space group is Cmm2 (No. 35) and the conventional cell measures 3.838, 4.703 and 11.062 Å, with angles of 90.00, 90.00 and 90.00 degrees. Symmetry generates all atoms from Ta at (0.000, 0.000, 0.000), Hg at (0.000, 0.000, 0.529), Hg at (0.000, 0.500, 0.800) and Sb at (0.000, 0.500, 0.196).

=====

# 2
VASP calculation (PBE) on a geometry-optimized Nd2GaGe3 structure.

Its crystal system is orthorhombic. As for the energy relative to the lowest polymorph listed for this composition: 0.003 eV/atom. As for the density of states at the Fermi level: 19.46 states/eV per cell.

The space group is Fmmm (No. 69) and the conventional cell measures 8.247, 8.527 and 15.631 Å, with angles of 90.00, 90.00 and 90.00 degrees. Symmetry generates all atoms from Nd at (0.246, 0.000, 0.000), Nd at (0.250, 0.250, 0.250), Ga at (0.000, 0.000, 0.335), Ge at (0.000, 0.000, 0.174) and Ge at (0.000, 0.250, 0.083).

=====

# 3
VASP calculation (PBE) on a geometry-optimized Mg5H4Ir structure.

Its crystal system is triclinic. As for the energy relative to the lowest polymorph listed for this composition: 0.000 eV/atom. As for the density of states at the Fermi level: 1.08 states/eV per cell.

The space group is P1 (No. 1) and the conventional cell measures 4.904, 5.064 and 5.649 Å, with angles of 95.12, 94.18 and 109.16 degrees. Symmetry generates all atoms from Mg at (0.000, 0.000, 0.000), Mg at (0.087, 0.284, 0.476), Mg at (0.408, 0.601, 0.998), Mg at (0.544, 0.143, 0.739), Mg at (0.679, 0.683, 0.478), H at (0.243, 0.876, 0.280), H at (0.310, 0.659, 0.659), H at (0.777, 0.625, 0.818), H at (0.844, 0.409, 0.197) and Ir at (0.543, 0.142, 0.238).

=====

# 4
VASP calculation (PBE) on a geometry-optimized Pm3Pa4N8 structure.

Its raw formation energy is -1.43 eV per atom. Its crystal system is monoclinic. As for the density of states at the Fermi level: 21.86 states/eV per cell.

The space group is C2/m (No. 12) and the conventional cell measures 9.930, 10.048 and 7.037 Å, with angles of 90.00, 134.41 and 90.00 degrees. Symmetry generates all atoms from Pm at (0.000, 0.000, 0.000), Pm at (0.250, 0.250, 0.000), Pa at (0.000, 0.000, 0.500), Pa at (0.000, 0.500, 0.000), Pa at (0.250, 0.250, 0.500), N at (0.000, 0.231, 0.500), N at (0.000, 0.259, 0.000), N at (0.243, 0.000, 0.519) and N at (0.245, 0.000, 0.950).